1.
First-principles (GGA-PBE) data for a geometry-optimized CaHf2Pd2 structure, as listed in Alexandria.

Summary:
* N(E_F): 4.0 states/eV/f.u.
* calculated density: 9.7 g/cm³
* DFT total energy: -34.39 eV per formula unit

abc: 8.0141 8.0141 3.2507
angles: 90.00 90.00 90.00
Closest atoms and distances in Å follow each position.
Sites, in units of the cell vectors:
Ca (0.0000, 0.0000, 0.0000)  4 Pd 3.14, 2 Ca 3.25, 8 Hf 3.43
Ca (0.5000, 0.5000, 0.0000)  4 Pd 3.14, 2 Ca 3.25, 8 Hf 3.43
Hf (0.1570, 0.3430, 0.5000)  6 Pd 2.83-2.90
Hf (0.3430, 0.8430, 0.5000)  6 Pd 2.83-2.90
Hf (0.6570, 0.1570, 0.5000)  6 Pd 2.83-2.90
Hf (0.8430, 0.6570, 0.5000)  6 Pd 2.83-2.90
Pd (0.1309, 0.6309, 0.0000)  6 Hf 2.83-2.90, 1 Pd 2.97, 2 Ca 3.14
Pd (0.3691, 0.1309, 0.0000)  6 Hf 2.83-2.90, 1 Pd 2.97, 2 Ca 3.14
Pd (0.6309, 0.8691, 0.0000)  6 Hf 2.83-2.90, 1 Pd 2.97, 2 Ca 3.14
Pd (0.8691, 0.3691, 0.0000)  6 Hf 2.83-2.90, 1 Pd 2.97, 2 Ca 3.14


2.
First-principles (GGA-PBE) data for a geometry-optimized Y3Zr structure, as listed in Alexandria.

Summary:
* N(E_F): 8.4 states/eV/f.u.
* calculated density: 5.0 g/cm³
* DFT total energy: -27.24 eV per formula unit

abc: 4.0258 4.0258 7.3203
angles: 90.00 90.00 90.00
Closest atoms and distances in Å follow each position.
Sites, in units of the cell vectors:
Y (0.0000, 0.0000, 0.0000)  8 Y 3.49, 2 Zr 3.66
Y (0.5000, 0.5000, 0.2755)  4 Zr 3.29, 5 Y 3.29-3.49
Y (0.5000, 0.5000, 0.7245)  4 Zr 3.29, 5 Y 3.29-3.49
Zr (0.0000, 0.0000, 0.5000)  10 Y 3.29-3.66


3.
First-principles (GGA-PBE) data for a geometry-optimized EuTeS3 structure, as listed in Alexandria.

Summary:
* formation energy from raw total energies: -0.533 eV/atom
* N(E_F): 15.7 states/eV/f.u.
* calculated density: 4.7 g/cm³

abc: 5.0858 5.0858 5.0858
angles: 90.00 90.00 90.00
Closest atoms and distances in Å follow each position.
Sites, in units of the cell vectors:
Eu (0.0000, 0.0000, 0.0000)  12 S 3.60
Te (0.5000, 0.5000, 0.5000)  6 S 2.54
S (0.0000, 0.5000, 0.5000)  2 Te 2.54
S (0.5000, 0.0000, 0.5000)  2 Te 2.54
S (0.5000, 0.5000, 0.0000)  2 Te 2.54


4.
First-principles (GGA-PBE) data for a geometry-optimized Ca3Tl2SnPd8 structure, as listed in Alexandria.

Summary:
* N(E_F): 5.7 states/eV/f.u.
* calculated density: 8.7 g/cm³
* DFT total energy: -63.09 eV per formula unit

abc: 5.5613 5.5613 10.6834
angles: 90.00 90.00 120.00
Closest atoms and distances in Å follow each position.
Sites, in units of the cell vectors:
Ca (0.0000, 0.0000, 0.0000)  6 Tl 3.35, 12 Pd 3.59-3.66
Ca (0.3333, 0.6667, 0.5692)  7 Pd 2.86-3.11
Ca (0.6667, 0.3333, 0.4308)  7 Pd 2.86-3.11
Tl (0.3333, 0.6667, 0.0880)  4 Pd 2.69-2.77
Tl (0.6667, 0.3333, 0.9120)  4 Pd 2.69-2.77
Sn (0.0000, 0.0000, 0.5000)  6 Pd 2.68
Pd (0.1673, 0.3347, 0.3001)  1 Sn 2.68, 4 Pd 2.77-2.79, 1 Tl 2.77
Pd (0.1673, 0.8327, 0.3001)  1 Sn 2.68, 4 Pd 2.77-2.79, 1 Tl 2.77
Pd (0.3333, 0.6667, 0.8364)  1 Tl 2.69, 1 Ca 2.86
Pd (0.3347, 0.1673, 0.6999)  1 Sn 2.68, 4 Pd 2.77-2.79, 1 Tl 2.77
Pd (0.6653, 0.8327, 0.3001)  1 Sn 2.68, 4 Pd 2.77-2.79, 1 Tl 2.77
Pd (0.6667, 0.3333, 0.1636)  1 Tl 2.69, 1 Ca 2.86
Pd (0.8327, 0.1673, 0.6999)  1 Sn 2.68, 4 Pd 2.77-2.79, 1 Tl 2.77
Pd (0.8327, 0.6653, 0.6999)  1 Sn 2.68, 4 Pd 2.77-2.79, 1 Tl 2.77


5.
First-principles (GGA-PBE) data for a geometry-optimized CoTeMo2 structure, as listed in Alexandria.

Summary:
* formation energy from raw total energies: 0.531 eV/atom
* N(E_F): 4.6 states/eV/f.u.
* calculated density: 9.8 g/cm³

abc: 5.1794 8.1081 3.0617
angles: 90.00 90.00 90.00
Closest atoms and distances in Å follow each position.
Sites, in units of the cell vectors:
Co (0.0000, 0.0000, 0.0000)  2 Te 2.59, 8 Mo 2.85
Co (0.5000, 0.5000, 0.0000)  2 Te 2.59, 8 Mo 2.85
Te (0.0000, 0.5000, 0.0000)  2 Co 2.59, 8 Mo 2.85
Te (0.5000, 0.0000, 0.0000)  2 Co 2.59, 8 Mo 2.85
Mo (0.2500, 0.2500, 0.5000)  2 Mo 2.59, 4 Co 2.85, 4 Te 2.85
Mo (0.2500, 0.7500, 0.5000)  2 Mo 2.59, 4 Co 2.85, 4 Te 2.85
Mo (0.7500, 0.2500, 0.5000)  2 Mo 2.59, 4 Co 2.85, 4 Te 2.85
Mo (0.7500, 0.7500, 0.5000)  2 Mo 2.59, 4 Co 2.85, 4 Te 2.85


6.
First-principles (GGA-PBE) data for a geometry-optimized BaCr2Co structure, as listed in Alexandria.

Summary:
* N(E_F): 3.5 states/eV/f.u.
* calculated density: 4.6 g/cm³
* DFT total energy: -24.33 eV per formula unit

abc: 5.4640 5.4640 14.5373
angles: 90.00 90.00 90.00
Closest atoms and distances in Å follow each position.
Sites, in units of the cell vectors:
Ba (0.0000, 0.2500, 0.3750)  8 Cr 3.55, 4 Co 3.86
Ba (0.0000, 0.7500, 0.6250)  8 Cr 3.55, 4 Co 3.86
Ba (0.5000, 0.2500, 0.1250)  8 Cr 3.55, 4 Co 3.86
Ba (0.5000, 0.7500, 0.8750)  8 Cr 3.55, 4 Co 3.86
Cr (0.0000, 0.0000, 0.0000)  2 Co 2.27
Cr (0.0000, 0.5000, 0.0000)  2 Co 2.27
Cr (0.2500, 0.2500, 0.7500)  2 Co 2.27
Cr (0.2500, 0.7500, 0.2500)  2 Co 2.27
Cr (0.5000, 0.0000, 0.5000)  2 Co 2.27
Cr (0.5000, 0.5000, 0.5000)  2 Co 2.27
Cr (0.7500, 0.2500, 0.7500)  2 Co 2.27
Cr (0.7500, 0.7500, 0.2500)  2 Co 2.27
Co (0.0000, 0.2500, 0.8750)  4 Cr 2.27
Co (0.0000, 0.7500, 0.1250)  4 Cr 2.27
Co (0.5000, 0.2500, 0.6250)  4 Cr 2.27
Co (0.5000, 0.7500, 0.3750)  4 Cr 2.27


7.
First-principles (GGA-PBE) data for a geometry-optimized LiTi2MnS4 structure, as listed in Alexandria.

Summary:
* formation energy from raw total energies: -1.113 eV/atom
* N(E_F): 3.1 states/eV/f.u.
* calculated density: 3.8 g/cm³

abc: 4.9773 4.9773 10.1490
angles: 90.00 90.00 90.00
Closest atoms and distances in Å follow each position.
Sites, in units of the cell vectors:
Li (0.0000, 0.0000, 0.0000)  6 S 2.49-2.54
Li (0.5000, 0.5000, 0.5000)  6 S 2.49-2.54
Ti (0.0000, 0.0000, 0.5000)  6 S 2.49-2.53
Ti (0.0000, 0.5000, 0.2500)  6 S 2.49-2.53
Ti (0.5000, 0.0000, 0.7500)  6 S 2.49-2.53
Ti (0.5000, 0.5000, 0.0000)  6 S 2.49-2.53
Mn (0.0000, 0.5000, 0.7500)  6 S 2.49-2.55
Mn (0.5000, 0.0000, 0.2500)  6 S 2.49-2.55
S (0.0000, 0.0000, 0.2506)  2 Mn 2.49, 3 Ti 2.49-2.53, 1 Li 2.54
S (0.0000, 0.0000, 0.7494)  2 Mn 2.49, 3 Ti 2.49-2.53, 1 Li 2.54
S (0.0000, 0.5000, 0.0010)  2 Li 2.49, 3 Ti 2.49-2.53, 1 Mn 2.55
S (0.0000, 0.5000, 0.4990)  2 Li 2.49, 3 Ti 2.49-2.53, 1 Mn 2.55
S (0.5000, 0.0000, 0.5010)  2 Li 2.49, 3 Ti 2.49-2.53, 1 Mn 2.55
S (0.5000, 0.0000, 0.9990)  2 Li 2.49, 3 Ti 2.49-2.53, 1 Mn 2.55
S (0.5000, 0.5000, 0.2494)  2 Mn 2.49, 3 Ti 2.49-2.53, 1 Li 2.54
S (0.5000, 0.5000, 0.7506)  2 Mn 2.49, 3 Ti 2.49-2.53, 1 Li 2.54


8.
First-principles (GGA-PBE) data for a geometry-optimized DyTl2Pb structure, as listed in Alexandria.

Summary:
* N(E_F): 3.1 states/eV/f.u.
* calculated density: 10.2 g/cm³
* DFT total energy: -13.08 eV per formula unit

abc: 5.0229 5.0229 17.4793
angles: 90.00 90.00 120.00
Closest atoms and distances in Å follow each position.
Sites, in units of the cell vectors:
Dy (0.0000, 0.0000, 0.0000)  6 Tl 3.07-3.24, 1 Pb 3.31
Dy (0.3333, 0.6667, 0.6667)  6 Tl 3.07-3.24, 1 Pb 3.31
Dy (0.6667, 0.3333, 0.3333)  6 Tl 3.07-3.24, 1 Pb 3.31
Tl (0.0000, 0.0000, 0.3902)  3 Dy 3.07, 3 Pb 3.28, 1 Tl 3.38
Tl (0.0000, 0.0000, 0.5835)  3 Dy 3.24, 1 Tl 3.38, 3 Pb 3.44
Tl (0.3333, 0.6667, 0.0568)  3 Dy 3.07, 3 Pb 3.28, 1 Tl 3.38
Tl (0.3333, 0.6667, 0.2502)  3 Dy 3.24, 1 Tl 3.38, 3 Pb 3.44
Tl (0.6667, 0.3333, 0.7235)  3 Dy 3.07, 3 Pb 3.28, 1 Tl 3.38
Tl (0.6667, 0.3333, 0.9169)  3 Dy 3.24, 1 Tl 3.38, 3 Pb 3.44
Pb (0.0000, 0.0000, 0.8106)  6 Tl 3.28-3.44, 1 Dy 3.31
Pb (0.3333, 0.6667, 0.4773)  6 Tl 3.28-3.44, 1 Dy 3.31
Pb (0.6667, 0.3333, 0.1440)  6 Tl 3.28-3.44, 1 Dy 3.31


9.
First-principles (GGA-PBE) data for a geometry-optimized ReSiAu structure, as listed in Alexandria.

Summary:
* formation energy from raw total energies: 0.258 eV/atom
* N(E_F): 1.1 states/eV/f.u.
* calculated density: 13.9 g/cm³

abc: 5.8164 5.8164 5.8164
angles: 90.00 90.00 90.00
Closest atoms and distances in Å follow each position.
Sites, in units of the cell vectors:
Re (0.0000, 0.0000, 0.0000)  4 Si 2.52
Re (0.0000, 0.5000, 0.5000)  4 Si 2.52
Re (0.5000, 0.0000, 0.5000)  4 Si 2.52
Re (0.5000, 0.5000, 0.0000)  4 Si 2.52
Si (0.2500, 0.2500, 0.7500)  4 Re 2.52, 4 Au 2.52
Si (0.2500, 0.7500, 0.2500)  4 Re 2.52, 4 Au 2.52
Si (0.7500, 0.2500, 0.2500)  4 Re 2.52, 4 Au 2.52
Si (0.7500, 0.7500, 0.7500)  4 Re 2.52, 4 Au 2.52
Au (0.0000, 0.0000, 0.5000)  4 Si 2.52
Au (0.0000, 0.5000, 0.0000)  4 Si 2.52
Au (0.5000, 0.0000, 0.0000)  4 Si 2.52
Au (0.5000, 0.5000, 0.5000)  4 Si 2.52


10.
First-principles (GGA-PBE) data for a geometry-optimized RbBAu3 structure, as listed in Alexandria.

Summary:
* N(E_F): 1.8 states/eV/f.u.
* calculated density: 11.2 g/cm³
* DFT total energy: -16.69 eV per formula unit

abc: 4.6675 4.6675 4.6675
angles: 90.00 90.00 90.00
Closest atoms and distances in Å follow each position.
Sites, in units of the cell vectors:
Rb (0.0000, 0.0000, 0.0000)  12 Au 3.30
B (0.5000, 0.5000, 0.5000)  6 Au 2.33
Au (0.0000, 0.5000, 0.5000)  2 B 2.33
Au (0.5000, 0.0000, 0.5000)  2 B 2.33
Au (0.5000, 0.5000, 0.0000)  2 B 2.33


11.
First-principles (GGA-PBE) data for a geometry-optimized In2CoTc structure, as listed in Alexandria.

Summary:
* N(E_F): 3.2 states/eV/f.u.
* calculated density: 9.0 g/cm³
* DFT total energy: -21.75 eV per formula unit

abc: 4.2036 3.2928 10.3285
angles: 90.00 90.00 90.00
Closest atoms and distances in Å follow each position.
Sites, in units of the cell vectors:
In (0.0000, 0.0000, 0.0000)  3 Co 2.79-2.91, 4 Tc 2.87
In (0.0000, 0.5000, 0.5000)  3 Co 2.79-2.91, 4 Tc 2.87
In (0.5000, 0.0000, 0.3250)  3 Tc 2.82-2.87, 4 Co 2.89
In (0.5000, 0.5000, 0.8250)  3 Tc 2.82-2.87, 4 Co 2.89
Co (0.0000, 0.0000, 0.7185)  2 Tc 2.42
Co (0.0000, 0.5000, 0.2185)  2 Tc 2.42
Tc (0.5000, 0.0000, 0.6030)  2 Co 2.42
Tc (0.5000, 0.5000, 0.1030)  2 Co 2.42


12.
First-principles (GGA-PBE) data for a geometry-optimized TiPPbCl2 structure, as listed in Alexandria.

Summary:
* formation energy from raw total energies: 0.532 eV/atom
* N(E_F): 11.7 states/eV/f.u.
* calculated density: 4.0 g/cm³

abc: 5.2320 5.2320 5.3691
angles: 90.00 90.00 90.00
Closest atoms and distances in Å follow each position.
Sites, in units of the cell vectors:
Ti (0.0000, 0.0000, 0.0000)  4 P 3.70, 8 Cl 3.75
P (0.5000, 0.5000, 0.0000)  2 Pb 2.68
Pb (0.5000, 0.5000, 0.5000)  4 Cl 2.62, 2 P 2.68
Cl (0.0000, 0.5000, 0.5000)  2 Pb 2.62
Cl (0.5000, 0.0000, 0.5000)  2 Pb 2.62